Here is a relaxed YErTm2 crystal from the Alexandria database. Energies are from GGA-PBE.

Output
For the mass density, the calculation gives 8.018 g cm⁻³. As for the space-group type: R3m. For the energy above the most stable polymorph in this dataset, the calculation gives 0.011 eV/atom. For the volume, the calculation gives 30.76 Å³ per atom.

Structure (CIF):
```
data_YErTm2
_symmetry_space_group_name_H-M 'P 1'
_symmetry_Int_Tables_number 1
_cell_length_a 3.5446
_cell_length_b 3.5446
_cell_length_c 11.4905
_cell_angle_alpha 81.13
_cell_angle_beta 81.13
_cell_angle_gamma 60.00
loop_
_symmetry_equiv_pos_as_xyz
'x,y,z'
loop_
_atom_site_label
_atom_site_fract_x
_atom_site_fract_y
_atom_site_fract_z
_atom_site_occupancy
Tm1 0.2503 0.2503 0.2490 1
Tm2 0.0829 0.0829 0.7514 1
Er1 0.6662 0.6662 0.0013 1
Y1 0.5006 0.5006 0.4983 1
```